Computed, not measured: a relaxed structure of Mn2CuOs at the GGA-PBE level of DFT.

Properties
- crystal system = tetragonal
- energy (eV for the cell shown) = -65.940
- formation energy from the elements (eV/atom) = 0.174

abc: 3.699 3.699 7.258
angles: 90.00 90.00 90.00
Space group I4/mmm (No. 139)
Asymmetric unit:
1 Mn 0.000 0.500 0.250
2 Cu 0.000 0.000 0.000
3 Os 0.000 0.000 0.500

Computed, not measured: a relaxed structure of CaScAl at the GGA-PBE level of DFT.

Properties
- crystal system = triclinic
- energy (eV for the cell shown) = -25.048
- formation energy from the elements (eV/atom) = -0.149

abc: 3.278 6.152 8.262
angles: 72.10 89.96 74.62
Space group P-1 (No. 2)
Asymmetric unit:
1 Ca 0.152 0.193 0.119
2 Sc 0.133 0.235 0.523
3 Al 0.455 0.590 0.243

Computed, not measured: a relaxed structure of LaRhW3 at the GGA-PBE level of DFT.

Properties
- crystal system = cubic
- energy (eV for the cell shown) = -36.482
- formation energy from the elements (eV/atom) = 2.931

abc: 4.728 4.728 4.728
angles: 90.00 90.00 90.00
Space group Pm-3m (No. 221)
Asymmetric unit:
1 La 0.000 0.000 0.000
2 Rh 0.500 0.500 0.500
3 W 0.000 0.000 0.500

Computed, not measured: a relaxed structure of Rb4Pa3NiS8 at the GGA-PBE level of DFT.

Properties
- crystal system = monoclinic
- ΔE_f (raw) (eV/atom) = -1.256
- energy (eV for the cell shown) = -182.500

abc: 14.336 7.776 9.077
angles: 90.00 121.24 90.00
Space group C2/m (No. 12)
Asymmetric unit:
1 Rb 0.000 0.000 0.000
2 Rb 0.000 0.500 0.000
3 Rb 0.250 0.250 0.000
4 Pa 0.000 0.000 0.500
5 Pa 0.250 0.250 0.500
6 Ni 0.000 0.500 0.500
7 S 0.023 0.267 0.324
8 S 0.227 0.000 0.696
9 S 0.247 0.000 0.289

Computed, not measured: a relaxed structure of PbBrF at the GGA-PBE level of DFT.

Properties
- crystal system = tetragonal
- ΔE_f (raw) (eV/atom) = -1.664
- energy (eV for the cell shown) = -24.492

abc: 4.191 4.191 7.998
angles: 90.00 90.00 90.00
Space group P4/nmm (No. 129, origin choice 2)
Asymmetric unit:
1 Pb 0.250 0.250 0.188
2 Br 0.250 0.250 0.654
3 F 0.250 0.750 0.000

Computed, not measured: a relaxed structure of Tb4PrSm2Mg at the GGA-PBE level of DFT.

Properties
- crystal system = tetragonal
- energy (eV for the cell shown) = -33.479
- formation energy from the elements (eV/atom) = 0.107

abc: 5.785 5.785 7.644
angles: 90.00 90.00 90.00
Space group P4/mmm (No. 123)
Asymmetric unit:
1 Tb 0.000 0.500 0.236
2 Pr 0.000 0.000 0.000
3 Sm 0.000 0.000 0.500
4 Sm 0.500 0.500 0.500
5 Mg 0.500 0.500 0.000